Li2In2Hg: relaxed, GGA-PBE.

```
Li2In2Hg
1.0
-0.0011 6.6162 -4.0720
2.3528 -3.8805 -6.3057
-3.4167 -0.5695 -0.9244
Li Hg In
4 2 4
direct
0.3401 0.1599 0.5000
0.6599 0.8401 0.5000
0.1599 0.6599 0.5000
0.8401 0.3401 0.5000
0.0000 0.0000 0.0000
0.5000 0.5000 0.0000
0.6398 0.1398 0.0000
0.3602 0.8602 0.0000
0.8602 0.6398 0.0000
0.1398 0.3602 0.0000
```

Summary:
Space group: P4/mbm, No. 127
Density, g/cm3: 6.82
Crystal system: tetragonal
Formation enthalpy at 0 K, eV/atom: -0.17
Raw total energy, eV per atom: -2.094